# 1
VASP calculation (PBE) on an optimized crystal structure of NiHgOs2S.

Lattice parameters (Å, degrees): 4.7334 4.0456 4.7334 90.00 90.00 90.00
Atoms (fractional coordinates):
S1 0.0000 0.5000 0.0000
Hg1 0.5000 0.5000 0.5000
Os1 0.0000 0.0000 0.5000
Os2 0.5000 0.0000 0.0000
Ni1 0.0000 0.0000 0.0000

Results
N(E_F): 6.450 states/eV per cell
Symmetry: P4/mmm (123)
Spin magnetization: 4.242 μB per cell
Total DFT energy (no corrections): -4.914 eV per atom

***

# 2
VASP calculation (PBE) on an optimized crystal structure of CaAc2Ge2.

Lattice parameters (Å, degrees): 4.7491 8.0645 8.0645 90.00 90.00 90.00
Atoms (fractional coordinates):
Ca1 0.0000 0.5000 0.5000
Ca2 0.0000 0.0000 0.0000
Ac1 0.5000 0.8226 0.3226
Ac2 0.5000 0.6774 0.8226
Ac3 0.5000 0.1774 0.6774
Ac4 0.5000 0.3226 0.1774
Ge1 0.0000 0.1155 0.3845
Ge2 0.0000 0.6155 0.1155
Ge3 0.0000 0.3845 0.8845
Ge4 0.0000 0.8845 0.6155

Results
N(E_F): 4.109 states/eV per cell
Symmetry: P4/mbm (127)
Spin magnetization: 0.000 μB per cell
Total DFT energy (no corrections): -4.607 eV per atom